(1)
{"formula": "Hg2PbAu2", "functional": "PBE", "state": "optimized geometry", "lattice_angstrom": [[-2.083, 2.083, 6.946], [2.083, -2.083, 6.946], [2.083, 2.083, -6.946]], "species": ["Hg", "Hg", "Pb", "Au", "Au"], "fractional_positions": [[0.250, 0.750, 0.500], [0.750, 0.250, 0.500], [0.000, 0.000, 0.000], [0.402, 0.402, 0.000], [0.598, 0.598, 0.000]], "sg": "I4/mmm", "crystal_system": "tetragonal", "e_form_ev_per_atom": 0.026, "polymorph_energy_mev_per_atom": 10}


(2)
{"formula": "Hg3PbAu", "functional": "PBE", "state": "optimized geometry", "lattice_angstrom": [[5.752, 0.000, 0.000], [0.000, 5.752, 0.000], [0.000, 0.000, 5.752]], "species": ["Hg", "Hg", "Hg", "Pb", "Au"], "fractional_positions": [[0.000, 0.000, 0.500], [0.000, 0.500, 0.000], [0.500, 0.000, 0.000], [0.000, 0.000, 0.000], [0.500, 0.500, 0.500]], "sg": "Pm-3m", "crystal_system": "cubic", "e_form_ev_per_atom": 0.483, "polymorph_energy_mev_per_atom": 473}


(3)
{"formula": "Hg5Pb12Au3", "functional": "PBE", "state": "optimized geometry", "lattice_angstrom": [[-8.794, 8.794, 8.794], [8.794, -8.794, 8.794], [8.794, 8.794, -8.794]], "species": ["Hg", "Hg", "Hg", "Hg", "Hg", "Hg", "Hg", "Hg", "Hg", "Hg", "Hg", "Hg", "Hg", "Hg", "Hg", "Hg", "Hg", "Hg", "Hg", "Hg", "Pb", "Pb", "Pb", "Pb", "Pb", "Pb", "Pb", "Pb", "Pb", "Pb", "Pb", "Pb", "Pb", "Pb", "Pb", "Pb", "Pb", "Pb", "Pb", "Pb", "Pb", "Pb", "Pb", "Pb", "Pb", "Pb", "Pb", "Pb", "Pb", "Pb", "Pb", "Pb", "Pb", "Pb", "Pb", "Pb", "Pb", "Pb", "Pb", "Pb", "Pb", "Pb", "Pb", "Pb", "Pb", "Pb", "Pb", "Pb", "Au", "Au", "Au", "Au", "Au", "Au", "Au", "Au", "Au", "Au", "Au", "Au"], "fractional_positions": [[0.000, 0.000, 0.000], [0.000, 0.000, 0.500], [0.000, 0.500, 0.000], [0.000, 0.500, 0.500], [0.125, 0.750, 0.875], [0.125, 0.875, 0.250], [0.250, 0.125, 0.875], [0.250, 0.625, 0.375], [0.375, 0.250, 0.625], [0.375, 0.625, 0.750], [0.500, 0.000, 0.000], [0.500, 0.000, 0.500], [0.500, 0.500, 0.000], [0.500, 0.500, 0.500], [0.625, 0.375, 0.250], [0.625, 0.750, 0.375], [0.750, 0.375, 0.625], [0.750, 0.875, 0.125], [0.875, 0.125, 0.750], [0.875, 0.250, 0.125], [0.061, 0.631, 0.396], [0.061, 0.930, 0.666], [0.070, 0.236, 0.131], [0.070, 0.334, 0.939], [0.104, 0.736, 0.666], [0.104, 0.869, 0.439], [0.131, 0.070, 0.236], [0.131, 0.561, 0.896], [0.166, 0.236, 0.604], [0.166, 0.430, 0.561], [0.236, 0.131, 0.070], [0.236, 0.604, 0.166], [0.264, 0.334, 0.896], [0.264, 0.430, 0.369], [0.334, 0.896, 0.264], [0.334, 0.939, 0.070], [0.369, 0.264, 0.430], [0.369, 0.604, 0.939], [0.396, 0.061, 0.631], [0.396, 0.834, 0.764], [0.430, 0.369, 0.264], [0.430, 0.561, 0.166], [0.439, 0.104, 0.869], [0.439, 0.834, 0.570], [0.561, 0.166, 0.430], [0.561, 0.896, 0.131], [0.570, 0.439, 0.834], [0.570, 0.631, 0.736], [0.604, 0.166, 0.236], [0.604, 0.939, 0.369], [0.631, 0.396, 0.061], [0.631, 0.736, 0.570], [0.666, 0.061, 0.930], [0.666, 0.104, 0.736], [0.736, 0.570, 0.631], [0.736, 0.666, 0.104], [0.764, 0.396, 0.834], [0.764, 0.869, 0.930], [0.834, 0.570, 0.439], [0.834, 0.764, 0.396], [0.869, 0.439, 0.104], [0.869, 0.930, 0.764], [0.896, 0.131, 0.561], [0.896, 0.264, 0.334], [0.930, 0.666, 0.061], [0.930, 0.764, 0.869], [0.939, 0.070, 0.334], [0.939, 0.369, 0.604], [0.125, 0.250, 0.375], [0.125, 0.375, 0.750], [0.250, 0.375, 0.125], [0.250, 0.875, 0.625], [0.375, 0.125, 0.250], [0.375, 0.750, 0.125], [0.625, 0.250, 0.875], [0.625, 0.875, 0.750], [0.750, 0.125, 0.375], [0.750, 0.625, 0.875], [0.875, 0.625, 0.250], [0.875, 0.750, 0.625]], "sg": "Ia-3d", "crystal_system": "cubic", "e_form_ev_per_atom": 0.115}


(4)
{"formula": "HgPb6Au", "functional": "PBE", "state": "optimized geometry", "lattice_angstrom": [[3.514, -3.497, 0.000], [3.514, 3.497, 0.000], [-3.438, 0.000, 9.368]], "species": ["Hg", "Pb", "Pb", "Pb", "Pb", "Pb", "Pb", "Au"], "fractional_positions": [[0.000, 0.000, 0.000], [0.109, 0.609, 0.224], [0.249, 0.249, 0.497], [0.391, 0.891, 0.776], [0.609, 0.109, 0.224], [0.751, 0.751, 0.503], [0.891, 0.391, 0.776], [0.500, 0.500, 0.000]], "sg": "C2/m", "crystal_system": "monoclinic", "e_form_ev_per_atom": 0.003, "polymorph_energy_mev_per_atom": 0}


(5)
{"formula": "Hg2PbAu", "functional": "PBE", "state": "optimized geometry", "lattice_angstrom": [[2.410, -2.441, 0.000], [2.410, 2.441, 0.000], [0.000, 0.000, 8.273]], "species": ["Hg", "Hg", "Pb", "Au"], "fractional_positions": [[0.000, 0.000, 0.216], [0.000, 0.000, 0.784], [0.500, 0.500, 0.500], [0.500, 0.500, 0.000]], "sg": "Cmmm", "crystal_system": "orthorhombic", "e_form_ev_per_atom": 0.075}


(6)
{"formula": "Hg3Pb8Au2", "functional": "PBE", "state": "optimized geometry", "lattice_angstrom": [[7.556, -4.656, 0.000], [7.556, 4.656, 0.000], [-1.370, 0.000, 5.498]], "species": ["Hg", "Hg", "Hg", "Pb", "Pb", "Pb", "Pb", "Pb", "Pb", "Pb", "Pb", "Au", "Au"], "fractional_positions": [[0.000, 0.000, 0.000], [0.215, 0.785, 0.500], [0.785, 0.215, 0.500], [0.151, 0.573, 0.983], [0.162, 0.162, 0.576], [0.385, 0.385, 0.519], [0.427, 0.849, 0.017], [0.573, 0.151, 0.983], [0.615, 0.615, 0.481], [0.838, 0.838, 0.424], [0.849, 0.427, 0.017], [0.224, 0.224, 0.114], [0.776, 0.776, 0.886]], "sg": "C2/m", "crystal_system": "monoclinic", "e_form_ev_per_atom": 0.012}


(7)
{"formula": "Hg2Pb8Au", "functional": "PBE", "state": "optimized geometry", "lattice_angstrom": [[6.378, -5.132, 0.000], [6.378, 5.132, 0.000], [-2.100, 0.000, 5.488]], "species": ["Hg", "Hg", "Pb", "Pb", "Pb", "Pb", "Pb", "Pb", "Pb", "Pb", "Au"], "fractional_positions": [[0.148, 0.148, 0.497], [0.852, 0.852, 0.503], [0.156, 0.692, 0.204], [0.269, 0.269, 0.077], [0.308, 0.844, 0.796], [0.420, 0.420, 0.697], [0.580, 0.580, 0.303], [0.692, 0.156, 0.204], [0.731, 0.731, 0.923], [0.844, 0.308, 0.796], [0.000, 0.000, 0.000]], "sg": "C2/m", "crystal_system": "monoclinic", "e_form_ev_per_atom": 0.082, "polymorph_energy_mev_per_atom": 78}


(8)
{"formula": "Hg3Pb12Au5", "functional": "PBE", "state": "optimized geometry", "lattice_angstrom": [[-8.662, 8.662, 8.662], [8.662, -8.662, 8.662], [8.662, 8.662, -8.662]], "species": ["Hg", "Hg", "Hg", "Hg", "Hg", "Hg", "Hg", "Hg", "Hg", "Hg", "Hg", "Hg", "Pb", "Pb", "Pb", "Pb", "Pb", "Pb", "Pb", "Pb", "Pb", "Pb", "Pb", "Pb", "Pb", "Pb", "Pb", "Pb", "Pb", "Pb", "Pb", "Pb", "Pb", "Pb", "Pb", "Pb", "Pb", "Pb", "Pb", "Pb", "Pb", "Pb", "Pb", "Pb", "Pb", "Pb", "Pb", "Pb", "Pb", "Pb", "Pb", "Pb", "Pb", "Pb", "Pb", "Pb", "Pb", "Pb", "Pb", "Pb", "Au", "Au", "Au", "Au", "Au", "Au", "Au", "Au", "Au", "Au", "Au", "Au", "Au", "Au", "Au", "Au", "Au", "Au", "Au", "Au"], "fractional_positions": [[0.125, 0.250, 0.375], [0.125, 0.375, 0.750], [0.250, 0.375, 0.125], [0.250, 0.875, 0.625], [0.375, 0.125, 0.250], [0.375, 0.750, 0.125], [0.625, 0.250, 0.875], [0.625, 0.875, 0.750], [0.750, 0.125, 0.375], [0.750, 0.625, 0.875], [0.875, 0.625, 0.250], [0.875, 0.750, 0.625], [0.053, 0.223, 0.129], [0.053, 0.330, 0.924], [0.076, 0.629, 0.405], [0.076, 0.947, 0.670], [0.095, 0.723, 0.670], [0.095, 0.871, 0.424], [0.129, 0.053, 0.223], [0.129, 0.576, 0.905], [0.170, 0.223, 0.595], [0.170, 0.447, 0.576], [0.223, 0.129, 0.053], [0.223, 0.595, 0.170], [0.277, 0.330, 0.905], [0.277, 0.447, 0.371], [0.330, 0.905, 0.277], [0.330, 0.924, 0.053], [0.371, 0.277, 0.447], [0.371, 0.595, 0.924], [0.405, 0.076, 0.629], [0.405, 0.830, 0.777], [0.424, 0.095, 0.871], [0.424, 0.830, 0.553], [0.447, 0.371, 0.277], [0.447, 0.576, 0.170], [0.553, 0.424, 0.830], [0.553, 0.629, 0.723], [0.576, 0.170, 0.447], [0.576, 0.905, 0.129], [0.595, 0.170, 0.223], [0.595, 0.924, 0.371], [0.629, 0.405, 0.076], [0.629, 0.723, 0.553], [0.670, 0.076, 0.947], [0.670, 0.095, 0.723], [0.723, 0.553, 0.629], [0.723, 0.670, 0.095], [0.777, 0.405, 0.830], [0.777, 0.871, 0.947], [0.830, 0.553, 0.424], [0.830, 0.777, 0.405], [0.871, 0.424, 0.095], [0.871, 0.947, 0.777], [0.905, 0.129, 0.576], [0.905, 0.277, 0.330], [0.924, 0.053, 0.330], [0.924, 0.371, 0.595], [0.947, 0.670, 0.076], [0.947, 0.777, 0.871], [0.000, 0.000, 0.000], [0.000, 0.000, 0.500], [0.000, 0.500, 0.000], [0.000, 0.500, 0.500], [0.125, 0.750, 0.875], [0.125, 0.875, 0.250], [0.250, 0.125, 0.875], [0.250, 0.625, 0.375], [0.375, 0.250, 0.625], [0.375, 0.625, 0.750], [0.500, 0.000, 0.000], [0.500, 0.000, 0.500], [0.500, 0.500, 0.000], [0.500, 0.500, 0.500], [0.625, 0.375, 0.250], [0.625, 0.750, 0.375], [0.750, 0.375, 0.625], [0.750, 0.875, 0.125], [0.875, 0.125, 0.750], [0.875, 0.250, 0.125]], "sg": "Ia-3d", "crystal_system": "cubic", "e_form_ev_per_atom": 0.085}


(9)
{"formula": "Hg2Pb2Au", "functional": "PBE", "state": "optimized geometry", "lattice_angstrom": [[7.402, 0.000, 0.000], [0.000, 7.402, 0.000], [0.000, 0.000, 4.890]], "species": ["Hg", "Hg", "Hg", "Hg", "Pb", "Pb", "Pb", "Pb", "Au", "Au"], "fractional_positions": [[0.141, 0.359, 0.000], [0.359, 0.859, 0.000], [0.641, 0.141, 0.000], [0.859, 0.641, 0.000], [0.171, 0.671, 0.500], [0.329, 0.171, 0.500], [0.671, 0.829, 0.500], [0.829, 0.329, 0.500], [0.000, 0.000, 0.000], [0.500, 0.500, 0.000]], "sg": "P4/mbm", "crystal_system": "tetragonal", "e_form_ev_per_atom": 0.075, "polymorph_energy_mev_per_atom": 100}


(10)
{"formula": "Hg2PbAu", "functional": "PBE", "state": "optimized geometry", "lattice_angstrom": [[0.000, 3.668, 3.668], [3.668, 0.000, 3.668], [3.668, 3.668, 0.000]], "species": ["Hg", "Hg", "Pb", "Au"], "fractional_positions": [[0.000, 0.000, 0.000], [0.250, 0.250, 0.250], [0.750, 0.750, 0.750], [0.500, 0.500, 0.500]], "sg": "F-43m", "crystal_system": "cubic", "e_form_ev_per_atom": 0.076}


(11)
{"formula": "HgPb5Au3", "functional": "PBE", "state": "optimized geometry", "lattice_angstrom": [[5.263, -5.090, 0.000], [5.263, 5.090, 0.000], [-4.028, 0.000, 10.026]], "species": ["Hg", "Hg", "Pb", "Pb", "Pb", "Pb", "Pb", "Pb", "Pb", "Pb", "Pb", "Pb", "Au", "Au", "Au", "Au", "Au", "Au"], "fractional_positions": [[0.233, 0.233, 0.253], [0.767, 0.767, 0.747], [0.151, 0.681, 0.115], [0.218, 0.782, 0.500], [0.232, 0.232, 0.560], [0.319, 0.849, 0.885], [0.322, 0.322, 0.914], [0.678, 0.678, 0.086], [0.681, 0.151, 0.115], [0.768, 0.768, 0.440], [0.782, 0.218, 0.500], [0.849, 0.319, 0.885], [0.000, 0.000, 0.000], [0.024, 0.024, 0.706], [0.494, 0.494, 0.234], [0.500, 0.500, 0.500], [0.506, 0.506, 0.766], [0.976, 0.976, 0.294]], "sg": "C2/m", "crystal_system": "monoclinic", "e_form_ev_per_atom": 0.045}


(12)
{"formula": "Hg2PbAu2", "functional": "PBE", "state": "optimized geometry", "lattice_angstrom": [[8.562, 0.000, 0.000], [0.000, 8.562, 0.000], [0.000, 0.000, 3.116]], "species": ["Hg", "Hg", "Hg", "Hg", "Pb", "Pb", "Au", "Au", "Au", "Au"], "fractional_positions": [[0.128, 0.372, 0.000], [0.372, 0.872, 0.000], [0.628, 0.128, 0.000], [0.872, 0.628, 0.000], [0.000, 0.000, 0.000], [0.500, 0.500, 0.000], [0.170, 0.670, 0.500], [0.330, 0.170, 0.500], [0.670, 0.830, 0.500], [0.830, 0.330, 0.500]], "sg": "P4/mbm", "crystal_system": "tetragonal", "e_form_ev_per_atom": 0.070, "polymorph_energy_mev_per_atom": 54}